Compound: PaSi2Pt3
Source: Alexandria via LeMat-Bulk
Functional: GGA-PBE
Structure: optimized geometry

## Properties
D(E_F) in states/eV/f.u.: 3.3
Energy in eV/atom: -7.17
Energy relative to the elements, uncorrected in eV/atom: -0.76

Lattice parameters (Å, degrees): 16.433 3.838 7.584 90.00 115.35 90.00
Space group C2/m (No. 12)
One atom of each set of equivalent atoms:
Pa1 0.147 0.000 0.154 [4 per cell]
Si1 0.020 0.500 0.865 [4 per cell]
Si2 0.132 0.000 0.670 [4 per cell]
Pt1 0.023 0.000 0.336 [4 per cell]
Pt2 0.180 0.500 0.478 [4 per cell]
Pt3 0.188 0.500 0.880 [4 per cell]

---

Compound: Pa3Si3Pt
Source: Alexandria via LeMat-Bulk
Functional: GGA-PBE
Structure: optimized geometry

## Properties
D(E_F) in states/eV/f.u.: 11.4
Energy in eV/atom: -7.92
Energy relative to the elements, uncorrected in eV/atom: -0.66

Lattice parameters (Å, degrees): 3.923 4.105 17.949 90.00 90.00 90.00
Space group Imm2 (No. 44)
One atom of each set of equivalent atoms:
Pa1 0.000 0.000 0.000 [2 per cell]
Pa2 0.000 0.000 0.380 [2 per cell]
Pa3 0.000 0.500 0.184 [2 per cell]
Si1 0.000 0.000 0.545 [2 per cell]
Si2 0.000 0.000 0.831 [2 per cell]
Si3 0.000 0.500 0.619 [2 per cell]
Pt1 0.000 0.500 0.753 [2 per cell]

---

Compound: PaSiPt3
Source: Alexandria via LeMat-Bulk
Functional: GGA-PBE
Structure: optimized geometry

## Properties
D(E_F) in states/eV/f.u.: 3.7
Energy in eV/atom: -7.49
Energy relative to the elements, uncorrected in eV/atom: -0.88
E above lowest polymorph in meV per atom: 98.2

Lattice parameters (Å, degrees): 5.630 6.398 5.107 90.00 90.00 90.00
Space group Pmn2_1 (No. 31)
One atom of each set of equivalent atoms:
Pa1 0.000 0.182 0.000 [2 per cell]
Si1 0.000 0.557 0.378 [2 per cell]
Pt1 0.000 0.906 0.518 [2 per cell]
Pt2 0.241 0.722 0.016 [4 per cell]